# 1
A geometry-optimized TbDy4In structure. Source: Alexandria via LeMat-Bulk, functional GGA-PBE.

Values from the calculation:
- Total moment: 0.00 μB/f.u.
- E_form: -150 meV per atom
- Space group: P4/mmm, No. 123

a b c (Å): 3.563 3.563 14.275
angles (deg): 90.00 90.00 90.00
Fractional positions:
Tb1 0.000 0.000 0.000
Dy1 0.500 0.500 0.176
Dy2 0.000 0.000 0.648
Dy3 0.000 0.000 0.352
Dy4 0.500 0.500 0.824
In1 0.500 0.500 0.500

# 2
A geometry-optimized SrDyZnN2 structure. Source: Alexandria via LeMat-Bulk, functional GGA-PBE.

Values from the calculation:
- Total moment: 0.00 μB/f.u.
- Space group: P2/c, No. 13
- Formation energy from raw total energies: -2.86 eV per formula unit

a b c (Å): 5.344 5.599 6.669
angles (deg): 90.02 90.00 90.00
Fractional positions:
Sr1 0.001 0.500 0.750
Sr2 0.999 0.500 0.250
Dy1 0.500 0.000 0.250
Dy2 0.500 0.000 0.750
Zn1 0.000 0.000 0.000
Zn2 0.000 0.000 0.500
N1 0.725 0.792 0.000
N2 0.725 0.208 0.500
N3 0.275 0.792 0.500
N4 0.275 0.208 0.000

# 3
A geometry-optimized ThTaNb structure. Source: Alexandria via LeMat-Bulk, functional GGA-PBE.

Values from the calculation:
- Total moment: 0.00 μB/f.u.
- E_form: 327 meV per atom
- Space group: Amm2, No. 38

a b c (Å): 3.413 3.152 14.591
angles (deg): 90.00 90.00 122.78
Fractional positions:
Nb1 0.694 0.388 0.000
Nb2 0.195 0.390 0.500
Ta1 0.695 0.391 0.354
Ta2 0.695 0.391 0.646
Th1 0.193 0.387 0.826
Th2 0.193 0.387 0.174

# 4
A geometry-optimized BaTc2Ag structure. Source: Alexandria via LeMat-Bulk, functional GGA-PBE.

Values from the calculation:
- Total moment: 0.00 μB/f.u.
- E_form: 1076 meV per atom
- Space group: Immm, No. 71

a b c (Å): 6.259 6.259 6.259
angles (deg): 152.83 131.92 56.10
Fractional positions:
Ag1 0.750 0.250 0.500
Ba1 0.250 0.750 0.500
Tc1 0.976 0.976 0.000
Tc2 0.524 0.524 0.000

# 5
A geometry-optimized Na2LiNp3Te6 structure. Source: Alexandria via LeMat-Bulk, functional GGA-PBE.

Values from the calculation:
- Total moment: 12.00 μB/f.u.
- Space group: C2/m, No. 12
- Formation energy from raw total energies: -9.58 eV per formula unit

a b c (Å): 7.704 7.704 7.798
angles (deg): 99.52 99.52 119.97
Last column: magnetic moment on the atom in μB.
Fractional positions:
Na1 0.335 0.665 0.000  0.00
Na2 0.665 0.335 0.000  0.00
Li1 0.000 0.000 0.000  -0.01
Np1 0.169 0.831 0.500  4.01
Np2 0.831 0.169 0.500  4.01
Np3 0.500 0.500 0.500  4.01
Te1 0.915 0.588 0.743  -0.08
Te2 0.759 0.759 0.260  -0.08
Te3 0.085 0.412 0.257  -0.08
Te4 0.588 0.915 0.743  -0.08
Te5 0.241 0.241 0.740  -0.08
Te6 0.412 0.085 0.257  -0.08

# 6
A geometry-optimized Tc2OsCl structure. Source: Alexandria via LeMat-Bulk, functional GGA-PBE.

Values from the calculation:
- Total moment: 0.00 μB/f.u.
- Space group: P4mm, No. 99
- Formation energy from raw total energies: 2.07 eV per formula unit

a b c (Å): 2.807 2.807 8.153
angles (deg): 90.00 90.00 90.00
Fractional positions:
Cl1 0.000 0.000 0.447
Os1 0.500 0.500 0.798
Tc1 0.000 0.000 0.010
Tc2 0.500 0.500 0.246

# 7
A geometry-optimized U2IrRu5 structure. Source: Alexandria via LeMat-Bulk, functional GGA-PBE.

Values from the calculation:
- Total moment: 0.00 μB/f.u.
- E_form: -402 meV per atom
- Space group: Pbam, No. 55

a b c (Å): 4.000 5.667 11.339
angles (deg): 90.00 90.00 90.00
Fractional positions:
U1 0.500 0.258 0.372
U2 0.500 0.742 0.628
U3 0.500 0.242 0.872
U4 0.500 0.758 0.128
Ir1 0.000 0.000 0.500
Ir2 0.000 0.500 0.000
Ru1 0.500 0.254 0.124
Ru2 0.500 0.746 0.876
Ru3 0.500 0.754 0.376
Ru4 0.500 0.246 0.624
Ru5 0.000 0.995 0.749
Ru6 0.000 0.005 0.251
Ru7 0.000 0.495 0.751
Ru8 0.000 0.505 0.249
Ru9 0.000 0.500 0.500
Ru10 0.000 0.000 0.000

# 8
A geometry-optimized NaCa3Cl structure. Source: Alexandria via LeMat-Bulk, functional GGA-PBE.

Values from the calculation:
- Total moment: 0.00 μB/f.u.
- Space group: Pm-3m, No. 221
- Formation energy from raw total energies: -2.06 eV per formula unit

a b c (Å): 5.975 5.975 5.975
angles (deg): 90.00 90.00 90.00
Fractional positions:
Na1 0.500 0.500 0.500
Ca1 0.000 0.500 0.000
Ca2 0.000 0.000 0.500
Ca3 0.500 0.000 0.000
Cl1 0.000 0.000 0.000